# 1
A plane-wave DFT calculation with PBE was carried out for a relaxed Er6Co2Rh crystal.

a = 6.4501 Å, b = 7.0653 Å, c = 9.5289 Å
α = 90.00°, β = 87.40°, γ = 90.00°
Atoms (fractional coordinates):
Er1 0.6654 0.4505 0.2585
Er2 0.1509 0.3304 0.0830
Er3 0.8201 0.6651 0.5683
Er4 0.1654 0.0495 0.7585
Er5 0.6509 0.1696 0.5830
Er6 0.3346 0.5495 0.7415
Er7 0.6799 0.1651 0.9317
Er8 0.3201 0.8349 0.0683
Er9 0.8346 0.9505 0.2415
Er10 0.3491 0.8304 0.4170
Er11 0.1799 0.3349 0.4317
Er12 0.8491 0.6696 0.9170
Co1 0.0356 0.6275 0.2836
Co2 0.9644 0.3725 0.7164
Co3 0.4644 0.1275 0.2164
Co4 0.5356 0.8725 0.7836
Rh1 0.0000 0.0000 0.5000
Rh2 0.5000 0.5000 0.0000

Properties
As for the total magnetic moment: 0.000 μB/f.u. The value obtained for the total energy is -103.0 eV/cell. For the formation energy, the calculation gives -27 kJ per mole of atoms. The value obtained for the density of states at the Fermi level is 0.9263 states/eV per atom. Its energy above the lowest structure with this stoichiometry is 80 meV per atom.


# 2
A plane-wave DFT calculation with PBE was carried out for a relaxed BaZnCuAs2 crystal.

a = 4.1696 Å, b = 4.1696 Å, c = 7.0835 Å
α = 107.12°, β = 107.12°, γ = 90.00°
Atoms (fractional coordinates):
As1 0.3628 0.3628 0.7257
As2 0.6372 0.6372 0.2743
Cu1 0.7500 0.2500 0.5000
Zn1 0.2500 0.7500 0.5000
Ba1 0.0000 0.0000 0.0000

Properties
As for the total magnetic moment: 0.000 μB/f.u. The value obtained for the total energy is -19.4 eV/cell. For the formation energy, the calculation gives -54 kJ per mole of atoms. The value obtained for the density of states at the Fermi level is 0.3710 states/eV per atom.


# 3
A plane-wave DFT calculation with PBE was carried out for a relaxed Nd4Tm3ScS8 crystal.

a = 7.7745 Å, b = 7.9967 Å, c = 7.7744 Å
α = 119.09°, β = 120.00°, γ = 90.00°
Atoms (fractional coordinates):
Nd1 0.5000 0.0000 0.5000
Nd2 0.5000 0.0000 0.0000
Nd3 0.0000 0.0000 0.0000
Nd4 0.0000 0.0000 0.5000
S1 0.7424 0.7273 0.4849
S2 0.2389 0.7241 0.9852
S3 0.2389 0.7241 0.4778
S4 0.2576 0.2727 0.5151
S5 0.7611 0.2759 0.5222
S6 0.7463 0.7241 0.9852
S7 0.7611 0.2759 0.0148
S8 0.2537 0.2759 0.0148
Tm1 0.0000 0.5000 0.5000
Tm2 0.5000 0.5000 0.5000
Tm3 0.5000 0.5000 0.0000
Sc1 0.0000 0.5000 0.0000

Properties
As for the total magnetic moment: 0.000 μB/f.u. The value obtained for the uncorrected formation energy is -31.53 eV/f.u. The value obtained for the total energy is -103.4 eV/cell. The value obtained for the density of states at the Fermi level is 0.4188 states/eV per atom.


# 4
A plane-wave DFT calculation with PBE was carried out for a relaxed Ce3GaRu2 crystal.

a = 7.3576 Å, b = 7.3576 Å, c = 7.3576 Å
α = 144.23°, β = 145.75°, γ = 50.36°
Atoms (fractional coordinates):
Ce1 0.6832 0.1832 0.5000
Ce2 0.3168 0.8168 0.5000
Ce3 0.5000 0.5000 0.0000
Ga1 0.0000 0.0000 0.0000
Ru1 0.1410 0.6410 0.5000
Ru2 0.8590 0.3590 0.5000

Properties
As for the total magnetic moment: 0.000 μB/f.u. The value obtained for the total energy is -42.3 eV/cell. For the formation energy, the calculation gives -46 kJ per mole of atoms. The value obtained for the density of states at the Fermi level is 1.0596 states/eV per atom. Its energy above the lowest structure with this stoichiometry is 0 meV per atom.